Record 1
# UV2Zn

Crystalline UV2Zn at its relaxed geometry (GGA-PBE, Alexandria).

Cell and atoms, written as extended XYZ:
```
4
Lattice="3.249 0.000 0.000 0.000 3.249 0.000 0.000 0.000 6.024" Properties=species:S:1:pos:R:3 pbc="T T T"
U 0.000 0.000 0.000
V 1.624 1.624 1.351
V 1.624 1.624 4.674
Zn 0.000 0.000 3.012
```

DOS at the Fermi energy: 6.6 states/eV/cell
calculated volume: 63.6 Å³ per cell
mass density: 10.6 Mg/m³
SG: P4/mmm
ΔE_f: 0.256 eV/atom
energy: -7.444 eV/atom
crystal system: tetragonal


Record 2
# Tb4Tl2SeS

Crystalline Tb4Tl2SeS at its relaxed geometry (GGA-PBE, Alexandria).

Cell and atoms, written as extended XYZ:
```
8
Lattice="6.794 0.000 0.000 0.000 3.903 0.000 -2.241 0.000 7.963" Properties=species:S:1:pos:R:3 pbc="T T T"
Tb 1.084 0.000 1.646
Tb -0.035 1.952 6.266
Tb 4.588 1.952 1.696
Tb 3.470 0.000 6.317
Tl -1.120 0.000 3.981
Tl 2.277 1.952 3.981
Se 3.397 0.000 0.000
S 0.000 1.952 0.000
```

DOS at the Fermi energy: 3.5 states/eV/cell
raw formation energy: -863 kJ/mol of formula units
calculated volume: 211.2 Å³ per cell
mass density: 9.1 Mg/m³
SG: P2/m
energy: -4.976 eV/atom
crystal system: monoclinic


Record 3
# Cs2Tl9Hg3

Crystalline Cs2Tl9Hg3 at its relaxed geometry (GGA-PBE, Alexandria).

Cell and atoms, written as extended XYZ:
```
28
Lattice="8.587 -4.923 0.000 8.587 4.923 0.000 -5.491 0.000 11.467" Properties=species:S:1:pos:R:3 pbc="T T T"
Cs 1.556 0.853 2.721
Cs -1.190 -0.853 8.454
Cs 12.874 0.853 3.012
Cs 10.128 -0.853 8.746
Tl 7.062 3.835 1.140
Tl 7.367 3.835 4.593
Tl 1.749 0.799 6.556
Tl 5.438 1.526 3.111
Tl 1.675 0.762 11.169
Tl 4.495 -0.799 0.823
Tl 4.469 1.242 8.600
Tl 8.991 1.526 2.623
Tl 4.421 -0.762 5.436
Tl 7.262 0.762 6.031
Tl 2.692 -1.526 8.844
Tl 7.215 -1.242 2.867
Tl 7.188 0.799 10.644
Tl 10.008 -0.762 0.297
Tl 6.245 -1.526 8.356
Tl 9.934 -0.799 4.911
Tl 4.317 -3.835 6.873
Tl 4.621 -3.835 10.326
Hg 4.294 2.461 0.000
Hg 4.279 2.933 5.825
Hg 4.658 2.933 11.375
Hg 1.548 -2.461 5.733
Hg 7.025 -2.933 0.092
Hg 7.404 -2.933 5.641
```

DOS at the Fermi energy: 14.5 states/eV/cell
calculated volume: 969.5 Å³ per cell
mass density: 9.3 Mg/m³
SG: C2/c
ΔE_f: -0.060 eV/atom
energy: -1.768 eV/atom
crystal system: monoclinic


Record 4
# LiSmPd6

Crystalline LiSmPd6 at its relaxed geometry (GGA-PBE, Alexandria).

Cell and atoms, written as extended XYZ:
```
8
Lattice="4.115 0.000 0.000 0.000 4.115 0.000 0.000 0.000 7.829" Properties=species:S:1:pos:R:3 pbc="T T T"
Li 0.000 0.000 0.000
Sm 0.000 0.000 3.914
Pd 0.000 2.057 1.815
Pd 0.000 2.057 6.014
Pd 2.057 0.000 1.815
Pd 2.057 0.000 6.014
Pd 2.057 2.057 0.000
Pd 2.057 2.057 3.914
```

DOS at the Fermi energy: 8.3 states/eV/cell
calculated volume: 132.6 Å³ per cell
mass density: 10.0 Mg/m³
SG: P4/mmm
ΔE_f: -0.510 eV/atom
energy: -5.233 eV/atom
crystal system: tetragonal


Record 5
# KCrTc2

Crystalline KCrTc2 at its relaxed geometry (GGA-PBE, Alexandria).

Cell and atoms, written as extended XYZ:
```
4
Lattice="3.000 0.000 0.000 0.000 3.000 0.000 0.000 0.000 8.598" Properties=species:S:1:pos:R:3 pbc="T T T"
K 0.000 0.000 0.000
Cr 0.000 0.000 4.299
Tc 1.500 1.500 2.964
Tc 1.500 1.500 5.634
```

DOS at the Fermi energy: 4.3 states/eV/cell
calculated volume: 77.4 Å³ per cell
mass density: 6.2 Mg/m³
SG: P4/mmm
ΔE_f: 0.801 eV/atom
energy: -7.062 eV/atom
crystal system: tetragonal


Record 6
# Li2PaIrN4

Crystalline Li2PaIrN4 at its relaxed geometry (GGA-PBE, Alexandria).

Cell and atoms, written as extended XYZ:
```
16
Lattice="1.659 -5.885 0.000 1.659 5.885 0.000 0.000 0.000 9.503" Properties=species:S:1:pos:R:3 pbc="T T T"
Li 1.659 4.755 5.134
Li 1.659 4.755 9.122
Li 1.659 -4.755 0.382
Li 1.659 -4.755 4.370
Pa 1.659 0.785 7.128
Pa 1.659 -0.785 2.376
Ir 1.659 2.320 2.376
Ir 1.659 -2.320 7.128
N 1.659 4.799 7.128
N 1.659 3.789 1.200
N 1.659 3.789 3.552
N 1.659 0.000 0.000
N 1.659 0.000 4.752
N 1.659 -3.789 5.952
N 1.659 -3.789 8.304
N 1.659 -4.799 2.376
```

DOS at the Fermi energy: 9.9 states/eV/cell
raw formation energy: -174 kJ/mol of formula units
calculated volume: 185.5 Å³ per cell
mass density: 8.8 Mg/m³
SG: Cmcm
energy: -7.161 eV/atom
crystal system: orthorhombic


Record 7
# Nd2GaRuN

Crystalline Nd2GaRuN at its relaxed geometry (GGA-PBE, Alexandria).

Cell and atoms, written as extended XYZ:
```
10
Lattice="3.923 0.000 0.000 0.000 3.923 0.000 0.000 0.000 12.855" Properties=species:S:1:pos:R:3 pbc="T T T"
Nd 0.981 0.981 1.163
Nd 0.981 0.981 9.192
Nd 2.942 2.942 3.663
Nd 2.942 2.942 11.692
Ga 0.981 0.981 4.785
Ga 2.942 2.942 8.070
Ru 0.981 2.942 6.427
Ru 2.942 0.981 6.427
N 0.981 0.981 11.653
N 2.942 2.942 1.202
```

DOS at the Fermi energy: 8.5 states/eV/cell
raw formation energy: -330 kJ/mol of formula units
calculated volume: 197.8 Å³ per cell
mass density: 7.9 Mg/m³
SG: P4/nmm
energy: -6.717 eV/atom
crystal system: tetragonal


Record 8
# Mn2GaPt3

Crystalline Mn2GaPt3 at its relaxed geometry (GGA-PBE, Alexandria).

Cell and atoms, written as extended XYZ:
```
12
Lattice="3.678 -2.287 0.000 3.678 2.287 0.000 -1.219 0.000 10.746" Properties=species:S:1:pos:R:3 pbc="T T T"
Mn 0.000 0.000 0.000
Mn -0.610 0.000 5.373
Mn 1.659 0.000 7.159
Mn 4.477 0.000 3.587
Ga 2.245 0.000 1.802
Ga 3.892 0.000 8.943
Pt -0.906 0.000 8.071
Pt 1.931 0.000 4.479
Pt 1.330 0.000 9.867
Pt 4.806 0.000 0.879
Pt 4.205 0.000 6.267
Pt 7.042 0.000 2.675
```

DOS at the Fermi energy: 4.2 states/eV/cell
calculated volume: 180.8 Å³ per cell
mass density: 14.1 Mg/m³
SG: C2/m
ΔE_f: -0.462 eV/atom
energy: -7.043 eV/atom
crystal system: monoclinic


Question: Look up the DOS at the Fermi energy of the fourth one.
Answer: 8.3 states/eV/cell


Question: The lowest mass density belongs to which entry?
Answer: KCrTc2


Question: Which formula does entry 1 have?
Answer: UV2Zn